# BaSr2Au4 (GGA-PBE, optimized geometry)
data_BaSr2Au4
_space_group_name_H-M_alt 'I -4 2 d'
_space_group_IT_number 122
_space_group_name_Hall 'I -4 2bw'
_cell_length_a 9.387
_cell_length_b 9.387
_cell_length_c 9.717
_cell_angle_alpha 90.00
_cell_angle_beta 90.00
_cell_angle_gamma 90.00
loop_
_atom_site_label
_atom_site_type_symbol
_atom_site_fract_x
_atom_site_fract_y
_atom_site_fract_z
Ba1 Ba 0.000 0.000 0.000
Sr1 Sr 0.140 0.250 0.625
Au1 Au 0.090 0.149 0.308
# energy relative to the elements	-709	meV per atom
# E	-93.431	eV/cell